The following is a GGA-PBE calculation of an optimized crystal structure of SmY2Hg5, from the Alexandria database.

Lattice parameters (Å, degrees): 5.2415 5.2415 8.2175 108.60 108.60 90.00
With the nearest neighbours (Å) after each atom.
Atoms (fractional coordinates):
Hg  0.6261  0.1261  0.2522  4 Y 3.06-3.33, 2 Hg 3.21, 2 Sm 3.21
Hg  0.1261  0.6261  0.2522  4 Y 3.06-3.33, 2 Hg 3.21, 2 Sm 3.21
Hg  0.8739  0.3739  0.7478  4 Y 3.06-3.33, 2 Hg 3.21, 2 Sm 3.21
Hg  0.5000  0.5000  0.0000  8 Hg 3.21, 2 Y 3.43
Hg  0.3739  0.8739  0.7478  4 Y 3.06-3.33, 2 Hg 3.21, 2 Sm 3.21
Y  0.7339  0.7339  0.4678  8 Hg 3.06-3.33
Y  0.2661  0.2661  0.5322  8 Hg 3.06-3.33
Sm  0.0000  0.0000  0.0000  8 Hg 3.21

VASP energy = -22.74 eV per formula unit
space group = I4/mmm
magnetization = 0.00 μB/cell